## TlCd2HgCl8 (PBE-GGA)

Data for a relaxed TlCd2HgCl8 crystal.

Cell lengths 6.2701, 8.0937, 6.5904 Å; angles 90.00, 90.24, 90.00 degrees
Element x y z (fractional)
Tl: 0.0000 0.0000 0.0000
Cd: 0.5000 0.2561 0.5000
Cd: 0.5000 0.7439 0.5000
Hg: 0.0000 0.5000 0.0000
Cl: 0.2371 0.2628 0.1701
Cl: 0.2371 0.7372 0.1701
Cl: 0.2747 0.5000 0.6582
Cl: 0.2892 0.0000 0.6584
Cl: 0.7108 0.0000 0.3416
Cl: 0.7253 0.5000 0.3418
Cl: 0.7629 0.2628 0.8299
Cl: 0.7629 0.7372 0.8299

Summary:
ΔE_f (raw): -0.817 eV per atom
Symmetry: P2/m, No. 10
DFT total energy: -2.423 eV/atom